# Tb3Al3NiPd2

A crystal of Tb3Al3NiPd2 relaxed with PBEsol (SCAN, Alexandria).

Geometry as POSCAR:
```
Tb3Al3NiPd2
1.0
6.964 0.000 0.000
-3.482 6.031 0.000
0.000 0.000 4.020
Tb Al Ni Pd
3 3 1 2
Direct
0.000 0.409 0.000
0.409 0.000 0.000
0.591 0.591 0.000
0.000 0.771 0.500
0.229 0.229 0.500
0.771 0.000 0.500
0.000 0.000 0.000
0.333 0.667 0.500
0.667 0.333 0.500
```

Calculated values
DOS at the Fermi energy (states/eV/atom): 0.63
Magnetization (μB per cell): 0.00
Mass density (kg/m3): 8156
Energy relative to the elements (eV per atom): -0.882


# PrAl5Ni2

A crystal of PrAl5Ni2 relaxed with PBEsol (SCAN, Alexandria).

Geometry as POSCAR:
```
PrAl5Ni2
1.0
-1.985 3.487 4.776
1.985 -3.487 4.776
1.985 3.487 -4.776
Pr Al Ni
1 5 2
Direct
0.000 0.000 0.000
0.151 0.341 0.810
0.468 0.659 0.810
0.500 0.000 0.500
0.532 0.341 0.190
0.849 0.659 0.190
0.262 0.762 0.500
0.738 0.238 0.500
```

Calculated values
DOS at the Fermi energy (states/eV/atom): 0.27
Magnetization (μB per cell): 0.01
Mass density (kg/m3): 4938
Energy relative to the elements (eV per atom): -0.663


# PrAlNi4

A crystal of PrAlNi4 relaxed with PBEsol (SCAN, Alexandria).

Geometry as POSCAR:
```
PrAlNi4
1.0
2.523 -4.224 0.000
2.523 4.224 0.000
0.000 0.000 3.989
Pr Al Ni
1 1 4
Direct
0.000 0.000 0.000
0.500 0.500 0.500
0.000 0.500 0.500
0.330 0.670 0.000
0.500 0.000 0.500
0.670 0.330 0.000
```

Calculated values
DOS at the Fermi energy (states/eV/atom): 0.48
Magnetization (μB per cell): 0.00
Mass density (kg/m3): 7863
Energy relative to the elements (eV per atom): -0.458


# PrAl4Ni

A crystal of PrAl4Ni relaxed with PBEsol (SCAN, Alexandria).

Geometry as POSCAR:
```
PrAl4Ni
1.0
2.053 -7.868 0.000
2.053 7.868 0.000
0.000 0.000 6.568
Pr Al Ni
2 8 2
Direct
0.114 0.886 0.750
0.886 0.114 0.250
0.079 0.921 0.250
0.308 0.692 0.553
0.308 0.692 0.947
0.500 0.500 0.000
0.500 0.500 0.500
0.692 0.308 0.053
0.692 0.308 0.447
0.921 0.079 0.750
0.225 0.775 0.250
0.775 0.225 0.750
```

Calculated values
DOS at the Fermi energy (states/eV/atom): 0.35
Magnetization (μB per cell): 0.00
Mass density (kg/m3): 4813
Energy relative to the elements (eV per atom): -0.594